No. 1
Computed, not measured: an optimized crystal structure of ZnSi2F at the GGA-PBE level of DFT.

Volume in Å³/atom: 16.704
Magnetic moment in μB per atom: 0.000
Energy relative to the lowest polymorph listed for this composition in meV/atom: 0
E in hartree per atom: -0.134
Formation energy (no corrections) in eV per atom: -0.14
Symmetry: No. 122

a = 8.2113 Å, b = 8.2113 Å, c = 8.2113 Å
α = 150.54°, β = 150.54°, γ = 42.16°
Fractional positions:
Zn: 0.0000 0.0000 0.0000
Zn: 0.7500 0.2500 0.5000
Si: 0.2150 0.6250 0.0900
Si: 0.3750 0.4650 0.5900
Si: 0.5350 0.1250 0.9100
Si: 0.8750 0.7850 0.4100
F: 0.2500 0.7500 0.5000
F: 0.5000 0.5000 0.0000

=====

No. 2
Computed, not measured: an optimized crystal structure of CsLiCl3 at the GGA-PBE level of DFT.

Volume in Å³/atom: 26.225
Magnetic moment in μB per atom: 0.200
E in hartree per atom: -0.111
Formation energy (no corrections) in eV per atom: -1.36
Symmetry: No. 221

a = 5.0804 Å, b = 5.0804 Å, c = 5.0804 Å
α = 90.00°, β = 90.00°, γ = 90.00°
Fractional positions:
Cs: 0.0000 0.0000 0.0000
Li: 0.5000 0.5000 0.5000
Cl: 0.0000 0.5000 0.5000
Cl: 0.5000 0.0000 0.5000
Cl: 0.5000 0.5000 0.0000

=====

No. 3
Computed, not measured: an optimized crystal structure of ZrAg2SbSe at the GGA-PBE level of DFT.

Volume in Å³/atom: 29.059
Magnetic moment in μB per atom: 0.065
E in hartree per atom: -0.139
Formation energy (no corrections) in eV per atom: 0.58
Symmetry: No. 123

a = 5.4042 Å, b = 5.4042 Å, c = 4.9748 Å
α = 90.00°, β = 90.00°, γ = 90.00°
Fractional positions:
Zr: 0.0000 0.0000 0.0000
Ag: 0.0000 0.5000 0.0000
Ag: 0.5000 0.0000 0.0000
Sb: 0.5000 0.5000 0.5000
Se: 0.0000 0.0000 0.5000

=====

No. 4
Computed, not measured: an optimized crystal structure of BiTe3Os at the GGA-PBE level of DFT.

Volume in Å³/atom: 39.906
Magnetic moment in μB per atom: 0.967
Energy relative to the lowest polymorph listed for this composition in meV/atom: 1235
E in hartree per atom: -0.113
Formation energy (no corrections) in eV per atom: 1.82
Symmetry: No. 221

a = 5.8435 Å, b = 5.8435 Å, c = 5.8435 Å
α = 90.00°, β = 90.00°, γ = 90.00°
Fractional positions:
Bi: 0.0000 0.0000 0.0000
Te: 0.0000 0.0000 0.5000
Te: 0.0000 0.5000 0.0000
Te: 0.5000 0.0000 0.0000
Os: 0.5000 0.5000 0.5000

=====

No. 5
Computed, not measured: an optimized crystal structure of Cs2Be2Zn at the GGA-PBE level of DFT.

Volume in Å³/atom: 35.435
Magnetic moment in μB per atom: 0.001
Energy relative to the lowest polymorph listed for this composition in meV/atom: 0
E in hartree per atom: -0.048
Symmetry: No. 139

a = 6.1284 Å, b = 6.1284 Å, c = 6.1284 Å
α = 109.29°, β = 109.29°, γ = 109.84°
Fractional positions:
Cs: 0.2500 0.7500 0.5000
Cs: 0.7500 0.2500 0.5000
Be: 0.1554 0.1554 0.0000
Be: 0.8446 0.8446 0.0000
Zn: 0.5000 0.5000 0.0000

=====

No. 6
Computed, not measured: an optimized crystal structure of PmDyCu2Se4 at the GGA-PBE level of DFT.

Volume in Å³/atom: 23.736
Magnetic moment in μB per atom: 0.000
E in hartree per atom: -0.183
Formation energy (no corrections) in eV per atom: -1.05
Symmetry: No. 23

a = 6.3061 Å, b = 6.3061 Å, c = 6.3061 Å
α = 114.50°, β = 113.28°, γ = 100.95°
Fractional positions:
Pm: 0.0000 0.0000 0.0000
Dy: 0.5000 0.5000 0.0000
Cu: 0.3442 0.8442 0.5000
Cu: 0.6558 0.1558 0.5000
Se: 0.0775 0.0606 0.5191
Se: 0.4586 0.9394 0.0170
Se: 0.5414 0.5584 0.4809
Se: 0.9225 0.4416 0.9830